The following is a PBE+U calculation of crystalline ZrCoSe2F at its relaxed geometry, from the Alexandria database.

Computed properties:
total DFT energy (no corrections)	-22.05	eV for the cell shown
space group	No. 123
Fermi-level density of states	4.17	states/eV per cell

Lattice parameters (Å, degrees): 5.066 5.066 5.629 90.00 90.00 90.00
Element x y z (fractional)
Zr 0.000 0.000 0.000
Co 0.000 0.000 0.500
Se 0.000 0.500 0.000
Se 0.500 0.000 0.000
F 0.500 0.500 0.500